Density functional theory data (GGA-PBE) for an optimized crystal structure of DyHo12Er7.

Structure (extended XYZ):
```
20
Lattice="8.487 0.744 1.116 -1.645 8.359 1.116 -1.645 -2.189 8.144" Properties=species:S:1:pos:R:3 pbc="T T T"
Ho 5.362 1.194 6.770
Ho 2.698 2.931 8.180
Ho -0.344 4.136 7.667
Ho -0.166 5.720 3.607
Ho 2.065 6.237 6.294
Ho 4.068 6.760 3.709
Ho 1.128 0.154 6.668
Ho 3.131 0.677 4.083
Ho 5.540 2.778 2.710
Ho 5.416 4.377 5.855
Ho 2.498 3.983 2.197
Ho -0.221 2.537 4.522
Dy 0.000 0.000 0.000
Er 5.104 3.955 9.729
Er 0.092 2.959 0.648
Er -0.546 -0.062 2.980
Er 2.598 3.457 5.188
Er 2.816 0.247 1.090
Er 2.380 6.666 9.286
Er 5.742 6.976 7.397
```

Computed properties:
Crystal system = trigonal
VASP energy = -4.27 eV per atom
Offset from the most stable computed form = 0 meV per atom
ΔE_f = 0.3073 eV/atom
Calculated density = 8.78 g/cm3
Calculated volume = 31.32 Å³/atom
Total magnetic moment = 0.0 μB per formula unit